Record 1
# NdPuGeRh

A geometry-optimized NdPuGeRh structure (PBE-GGA, the Alexandria database).

Results
DFT formation energy: -425.1 meV per atom
N(E_F): 2.33 states/eV per atom

The structure in CIF format:
```
data_NdPuGeRh
_chemical_formula_sum 'Nd4 Pu4 Ge4 Rh4'
_cell_length_a 7.138
_cell_length_b 7.138
_cell_length_c 7.138
_cell_angle_alpha 90.00
_cell_angle_beta 90.00
_cell_angle_gamma 90.00
_symmetry_space_group_name_H-M 'F -4 3 m'
_symmetry_Int_Tables_number 216
_symmetry_space_group_name_Hall 'F -4 2 3'
loop_
_atom_site_label
_atom_site_type_symbol
_atom_site_fract_x
_atom_site_fract_y
_atom_site_fract_z
Nd1 Nd 0.000 0.000 0.000
Pu1 Pu 0.000 0.000 0.500
Ge1 Ge 0.250 0.250 0.750
Rh1 Rh 0.250 0.250 0.250
```

---

Record 2
# NdPuTlGe

A geometry-optimized NdPuTlGe structure (PBE-GGA, the Alexandria database).

Results
DFT formation energy: -272.3 meV per atom
N(E_F): 2.64 states/eV per atom

The structure in CIF format:
```
data_NdPuTlGe
_chemical_formula_sum 'Nd4 Pu4 Tl4 Ge4'
_cell_length_a 7.523
_cell_length_b 7.523
_cell_length_c 7.523
_cell_angle_alpha 90.00
_cell_angle_beta 90.00
_cell_angle_gamma 90.00
_symmetry_space_group_name_H-M 'F -4 3 m'
_symmetry_Int_Tables_number 216
_symmetry_space_group_name_Hall 'F -4 2 3'
loop_
_atom_site_label
_atom_site_type_symbol
_atom_site_fract_x
_atom_site_fract_y
_atom_site_fract_z
Nd1 Nd 0.000 0.000 0.000
Pu1 Pu 0.000 0.000 0.500
Tl1 Tl 0.250 0.250 0.250
Ge1 Ge 0.250 0.250 0.750
```

---

Record 3
# NdPu2Zn2Ge2

A geometry-optimized NdPu2Zn2Ge2 structure (PBE-GGA, the Alexandria database).

Results
DFT formation energy: -226.8 meV per atom
N(E_F): 1.12 states/eV per atom

The structure in CIF format:
```
data_NdPu2Zn2Ge2
_chemical_formula_sum 'Nd3 Pu6 Zn6 Ge6'
_cell_length_a 4.0923
_cell_length_b 4.0923
_cell_length_c 27.7620
_cell_angle_alpha 90.00
_cell_angle_beta 90.00
_cell_angle_gamma 120.00
_symmetry_space_group_name_H-M 'R -3 m'
_symmetry_Int_Tables_number 166
_symmetry_space_group_name_Hall '-R 3 2"'
loop_
_atom_site_label
_atom_site_type_symbol
_atom_site_fract_x
_atom_site_fract_y
_atom_site_fract_z
Nd1 Nd 0.0000 0.0000 0.0000
Pu1 Pu 0.0000 0.0000 0.1526
Zn1 Zn 0.0000 0.0000 0.4165
Ge1 Ge 0.0000 0.0000 0.2608
```

---

Record 4
# NdPuZnGe

A geometry-optimized NdPuZnGe structure (PBE-GGA, the Alexandria database).

Results
DFT formation energy: -349.7 meV per atom
N(E_F): 2.49 states/eV per atom

The structure in CIF format:
```
data_NdPuZnGe
_chemical_formula_sum 'Nd4 Pu4 Zn4 Ge4'
_cell_length_a 7.260
_cell_length_b 7.260
_cell_length_c 7.260
_cell_angle_alpha 90.00
_cell_angle_beta 90.00
_cell_angle_gamma 90.00
_symmetry_space_group_name_H-M 'F -4 3 m'
_symmetry_Int_Tables_number 216
_symmetry_space_group_name_Hall 'F -4 2 3'
loop_
_atom_site_label
_atom_site_type_symbol
_atom_site_fract_x
_atom_site_fract_y
_atom_site_fract_z
Nd1 Nd 0.000 0.000 0.000
Pu1 Pu 0.000 0.000 0.500
Zn1 Zn 0.250 0.250 0.250
Ge1 Ge 0.250 0.250 0.750
```

---

Record 5
# Rb2NdGe2S6

A geometry-optimized Rb2NdGe2S6 structure (PBE-GGA, the Alexandria database).

Results
raw formation energy: -903.6 meV/atom
N(E_F): 0.59 states/eV per atom

The structure in CIF format:
```
data_Rb2NdGe2S6
_chemical_formula_sum 'Rb4 Nd2 Ge4 S12'
_cell_length_a 11.323
_cell_length_b 7.474
_cell_length_c 8.437
_cell_angle_alpha 90.00
_cell_angle_beta 107.24
_cell_angle_gamma 90.00
_symmetry_space_group_name_H-M 'C 1 2/m 1'
_symmetry_Int_Tables_number 12
_symmetry_space_group_name_Hall '-C 2y'
loop_
_atom_site_label
_atom_site_type_symbol
_atom_site_fract_x
_atom_site_fract_y
_atom_site_fract_z
Rb1 Rb 0.194 0.000 0.130
Nd1 Nd 0.000 0.000 0.500
Ge1 Ge 0.042 0.500 0.369
S1 S 0.038 0.253 0.766
S2 S 0.245 0.500 0.456
```

---

Record 6
# RbNdGeS4

A geometry-optimized RbNdGeS4 structure (PBE-GGA, the Alexandria database).

Results
raw formation energy: -1262.3 meV/atom
N(E_F): 0.00 states/eV per atom

The structure in CIF format:
```
data_RbNdGeS4
_chemical_formula_sum 'Rb2 Nd2 Ge2 S8'
_cell_length_a 6.657
_cell_length_b 6.762
_cell_length_c 9.180
_cell_angle_alpha 90.00
_cell_angle_beta 107.41
_cell_angle_gamma 90.00
_symmetry_space_group_name_H-M 'P 1 21/m 1'
_symmetry_Int_Tables_number 11
_symmetry_space_group_name_Hall '-P 2yb'
loop_
_atom_site_label
_atom_site_type_symbol
_atom_site_fract_x
_atom_site_fract_y
_atom_site_fract_z
Rb1 Rb 0.231 0.250 0.436
Nd1 Nd 0.272 0.250 0.949
Ge1 Ge 0.278 0.750 0.172
S1 S 0.080 0.750 0.326
S2 S 0.080 0.750 0.930
S3 S 0.498 0.505 0.792
```

---

Record 7
# Rb3Nd3GeSe8

A geometry-optimized Rb3Nd3GeSe8 structure (PBE-GGA, the Alexandria database).

Results
raw formation energy: -1342.7 meV/atom
N(E_F): 0.27 states/eV per atom

The structure in CIF format:
```
data_Rb3Nd3GeSe8
_chemical_formula_sum 'Rb9 Nd9 Ge3 Se24'
_cell_length_a 8.4958
_cell_length_b 8.4958
_cell_length_c 24.6727
_cell_angle_alpha 90.00
_cell_angle_beta 90.00
_cell_angle_gamma 120.00
_symmetry_space_group_name_H-M 'R -3 m'
_symmetry_Int_Tables_number 166
_symmetry_space_group_name_Hall '-R 3 2"'
loop_
_atom_site_label
_atom_site_type_symbol
_atom_site_fract_x
_atom_site_fract_y
_atom_site_fract_z
Rb1 Rb 0.0000 0.5000 0.0000
Nd1 Nd 0.0000 0.5000 0.5000
Ge1 Ge 0.0000 0.0000 0.5000
Se1 Se 0.0000 0.0000 0.2338
Se2 Se 0.0325 0.5163 0.2285
```

---

Record 8
# RbNdGeSe3

A geometry-optimized RbNdGeSe3 structure (PBE-GGA, the Alexandria database).

Results
raw formation energy: -1228.1 meV/atom

The structure in CIF format:
```
data_RbNdGeSe3
_chemical_formula_sum 'Rb2 Nd2 Ge2 Se6'
_cell_length_a 8.972
_cell_length_b 4.163
_cell_length_c 11.486
_cell_angle_alpha 90.00
_cell_angle_beta 108.77
_cell_angle_gamma 90.00
_symmetry_space_group_name_H-M 'P 1 21/m 1'
_symmetry_Int_Tables_number 11
_symmetry_space_group_name_Hall '-P 2yb'
loop_
_atom_site_label
_atom_site_type_symbol
_atom_site_fract_x
_atom_site_fract_y
_atom_site_fract_z
Rb1 Rb 0.244 0.250 0.285
Nd1 Nd 0.355 0.750 0.845
Ge1 Ge 0.125 0.250 0.562
Se1 Se 0.101 0.250 0.771
Se2 Se 0.320 0.750 0.576
Se3 Se 0.402 0.750 0.110
```

---

Record 9
# RbNdGeSe4

A geometry-optimized RbNdGeSe4 structure (PBE-GGA, the Alexandria database).

Results
raw formation energy: -1146.6 meV/atom

The structure in CIF format:
```
data_RbNdGeSe4
_chemical_formula_sum 'Rb2 Nd2 Ge2 Se8'
_cell_length_a 6.905
_cell_length_b 7.078
_cell_length_c 9.551
_cell_angle_alpha 90.00
_cell_angle_beta 107.86
_cell_angle_gamma 90.00
_symmetry_space_group_name_H-M 'P 1 21/m 1'
_symmetry_Int_Tables_number 11
_symmetry_space_group_name_Hall '-P 2yb'
loop_
_atom_site_label
_atom_site_type_symbol
_atom_site_fract_x
_atom_site_fract_y
_atom_site_fract_z
Rb1 Rb 0.245 0.250 0.439
Nd1 Nd 0.270 0.250 0.948
Ge1 Ge 0.282 0.750 0.173
Se1 Se 0.077 0.750 0.923
Se2 Se 0.081 0.750 0.333
Se3 Se 0.487 0.510 0.789
```

---

Record 10
# Rb2NdGeSe4

A geometry-optimized Rb2NdGeSe4 structure (PBE-GGA, the Alexandria database).

Results
raw formation energy: -1034.0 meV/atom
N(E_F): 0.69 states/eV per atom

The structure in CIF format:
```
data_Rb2NdGeSe4
_chemical_formula_sum 'Rb8 Nd4 Ge4 Se16'
_cell_length_a 8.821
_cell_length_b 8.930
_cell_length_c 12.590
_cell_angle_alpha 90.00
_cell_angle_beta 90.00
_cell_angle_gamma 90.00
_symmetry_space_group_name_H-M 'I m m a'
_symmetry_Int_Tables_number 74
_symmetry_space_group_name_Hall '-I 2b 2'
loop_
_atom_site_label
_atom_site_type_symbol
_atom_site_fract_x
_atom_site_fract_y
_atom_site_fract_z
Rb1 Rb 0.000 0.000 0.000
Rb2 Rb 0.250 0.250 0.250
Nd1 Nd 0.000 0.000 0.500
Ge1 Ge 0.250 0.250 0.750
Se1 Se 0.000 0.049 0.737
Se2 Se 0.223 0.250 0.523
```

---

Number 1: ρ 10.3 Mg/m³. Number 2: ρ 10.4 Mg/m³. Number 3: ρ 11.2 Mg/m³. Number 4: ρ 9.1 Mg/m³. Number 5: ρ 3.2 Mg/m³. Number 6: ρ 3.6 Mg/m³. Number 7: ρ 4.5 Mg/m³. Number 8: ρ 4.4 Mg/m³. Number 9: ρ 4.6 Mg/m³. Number 10: ρ 4.7 Mg/m³.